DFT (PBE) results for crystalline K2La2USe6 at its relaxed geometry.

The space-group type is C2/m. As for the energy relative to the elements, uncorrected: -1631 meV per atom. Its magnetic moment is 2.0 μB/f.u. The calculated volume is 384 Å³ per cell.

Cell and atoms, written as POSCAR:
```
K2La2USe6
1.0
-4.929 -1.796 5.396
5.190 -5.036 -2.084
4.779 5.075 4.268
Se La K U
6 2 2 1
direct
0.386 0.066 0.703
0.934 0.614 0.297
0.755 0.755 0.702
0.245 0.245 0.298
0.066 0.386 0.703
0.614 0.934 0.297
0.334 0.666 0.500
0.666 0.334 0.500
0.170 0.830 0.000
0.830 0.170 0.000
0.000 0.000 0.500
```

***

DFT (PBE) results for crystalline K3La2USe6 at its relaxed geometry.

The space-group type is C2/m. As for the energy relative to the elements, uncorrected: -1613 meV per atom. Its magnetic moment is 3.0 μB/f.u. The calculated volume is 385 Å³ per cell.

Cell and atoms, written as POSCAR:
```
K3La2USe6
1.0
7.607 -0.002 0.000
-3.803 6.588 0.000
-1.269 -2.197 7.680
K Se La U
3 6 2 1
direct
0.500 0.500 0.500
0.832 0.168 0.500
0.168 0.832 0.500
0.605 0.930 0.789
0.070 0.395 0.211
0.746 0.746 0.211
0.930 0.605 0.789
0.395 0.070 0.211
0.254 0.254 0.789
0.666 0.334 0.000
0.334 0.666 0.000
0.000 0.000 0.000
```

***

DFT (PBE) results for crystalline K3La3USe8 at its relaxed geometry.

The space-group type is C2/m. As for the energy relative to the elements, uncorrected: -1690 meV per atom. Its magnetic moment is 2.0 μB/f.u. The calculated volume is 518 Å³ per cell.

Cell and atoms, written as POSCAR:
```
K3La3USe8
1.0
-0.098 -0.028 8.787
1.489 -7.453 -4.391
6.654 6.443 0.092
Se K La U
8 3 3 1
direct
0.250 0.025 0.300
0.263 0.526 0.288
0.775 0.025 0.300
0.225 0.975 0.700
0.775 0.550 0.300
0.737 0.474 0.712
0.750 0.975 0.700
0.225 0.450 0.700
0.500 0.500 0.000
0.000 0.000 0.000
0.000 0.500 0.000
0.500 0.500 0.500
0.500 0.000 0.500
0.000 0.500 0.500
0.000 0.000 0.500
```

***

DFT (PBE) results for crystalline K4LaU3Se8 at its relaxed geometry.

The space-group type is R-3m. As for the energy relative to the elements, uncorrected: -1368 meV per atom. Its magnetic moment is 9.0 μB/f.u. The calculated volume is 491 Å³ per cell.

Cell and atoms, written as POSCAR:
```
K4LaU3Se8
1.0
8.561 0.000 0.000
0.000 9.166 0.422
-4.280 -4.277 6.056
Se K U La
8 4 3 1
direct
0.241 0.711 0.483
0.759 0.289 0.031
0.759 0.289 0.517
0.265 0.294 0.529
0.728 0.711 0.969
0.735 0.706 0.471
0.272 0.289 0.031
0.241 0.711 0.969
0.000 0.000 0.500
0.000 0.000 0.000
0.500 0.000 0.000
0.500 0.000 0.500
0.500 0.500 0.500
0.500 0.500 0.000
0.000 0.500 0.500
0.000 0.500 0.000
```